No. 1
Tm2CS | Alexandria | GGA-PBE | optimized geometry; electronic total energy = -6.8232 eV/atom; total magnetic moment = 0.0 Bohr magnetons per cell; calculated density = 8.71 g/cm³
1.0
3.618 0.000 0.000
1.809 3.133 0.000
1.809 1.044 6.426
Tm C S
2 1 1
direct
0.069 0.069 0.794 Tm
0.265 0.265 0.206 Tm
0.668 0.668 0.997 C
0.499 0.499 0.504 S

---

No. 2
K5SnSe5 | Alexandria | GGA-PBE | optimized geometry; electronic total energy = -3.2410 eV/atom; D(E_F) = 12.5 states/eV per cell; total magnetic moment = 1.1 Bohr magnetons per cell; calculated density = 2.93 g/cm³
1.0
-2.018 -5.435 -2.555
-1.633 0.554 7.967
-6.410 4.444 -4.390
K Sn Se
5 1 5
direct
0.693 0.386 0.307 K
0.672 0.344 0.849 K
0.000 0.000 0.500 K
0.328 0.656 0.151 K
0.307 0.614 0.693 K
0.000 0.000 0.000 Sn
0.870 0.739 0.144 Se
0.859 0.719 0.712 Se
0.500 0.000 0.000 Se
0.141 0.281 0.288 Se
0.130 0.261 0.856 Se

---

No. 3
YZrAl2 | Alexandria | GGA-PBE | optimized geometry; relative energy among the computed polymorphs = 0.954 eV/f.u.; calculated formation energy = -0.15 eV per atom; D(E_F) = 3.1 states/eV per cell; total magnetic moment = 0.0 Bohr magnetons per cell; calculated density = 4.23 g/cm³
1.0
4.935 0.040 -0.099
3.839 3.100 -0.099
1.012 0.362 6.044
Y Al Zr
1 2 1
direct
0.250 0.250 0.250 Y
0.003 0.003 0.967 Al
0.497 0.497 0.533 Al
0.750 0.750 0.750 Zr

---

No. 4
Zr2AuSe | Alexandria | GGA-PBE | optimized geometry; electronic total energy = -6.4128 eV/atom; D(E_F) = 4.1 states/eV per cell; total magnetic moment = 0.0 Bohr magnetons per cell; calculated density = 9.40 g/cm³
1.0
5.735 0.006 0.000
2.891 4.953 0.000
-4.313 -2.479 2.853
Au Se Zr
1 1 2
direct
0.500 0.500 0.000 Au
0.750 0.250 0.500 Se
0.000 0.000 0.000 Zr
0.250 0.750 0.500 Zr

---

No. 5
Sm2ErScS4 | Alexandria | GGA-PBE | optimized geometry; electronic total energy = -6.5620 eV/atom; D(E_F) = 4.3 states/eV per cell; total magnetic moment = 0.0 Bohr magnetons per cell; calculated density = 6.36 g/cm³
1.0
3.847 0.000 0.000
0.000 6.695 0.121
0.000 -2.336 6.460
Sm Er Sc S
2 1 1 4
direct
0.500 0.000 0.500 Sm
0.000 0.500 0.500 Sm
0.500 0.500 0.000 Er
0.000 0.000 0.000 Sc
0.500 0.237 0.228 S
0.500 0.763 0.772 S
0.000 0.251 0.768 S
0.000 0.749 0.232 S

---

No. 6
SrReBi2Te | Alexandria | GGA-PBE | optimized geometry; electronic total energy = -4.8196 eV/atom; D(E_F) = 2.9 states/eV per cell; total magnetic moment = 0.0 Bohr magnetons per cell; calculated density = 8.05 g/cm³
1.0
5.219 0.000 0.000
0.000 6.205 0.000
0.000 0.000 5.219
Re Te Bi Sr
1 1 2 1
direct
0.000 0.000 0.000 Re
0.500 0.500 0.500 Te
0.000 0.000 0.500 Bi
0.500 0.000 0.000 Bi
0.000 0.500 0.000 Sr